1.
VASP calculation (PBEsol) on an optimized crystal structure of HgPb2N.

Cell and atoms, written as POSCAR:
```
HgPb2N
1.0
4.9589 0.0000 0.0000
2.4795 4.2946 0.0000
2.4795 1.4315 4.0489
Pb Hg N
2 1 1
Cartesian
2.4795 1.4315 1.0122
7.4384 4.2946 3.0367
4.9589 2.8630 2.0245
0.0000 0.0000 0.0000
```

Space-group type: No. 225
Density of states at the Fermi level, states/eV/f.u.: 2.1
Energy relative to the elements, uncorrected, eV per atom: 0.885
Calculated volume, A^3/atom: 21.557
Total moment, μB/atom: 0.00

2.
VASP calculation (PBEsol) on an optimized crystal structure of MgBS2.

Cell and atoms, written as POSCAR:
```
MgBS2
1.0
5.3634 0.0000 0.0000
-2.6817 5.1356 0.0249
0.0000 2.7784 4.5877
S B Mg
4 2 2
Cartesian
-0.8869 6.2828 4.0329
1.3409 1.8664 0.9680
0.8869 4.8936 1.7391
4.0226 2.7852 2.4852
2.6817 1.3892 2.2938
0.0000 3.2624 1.1594
2.6817 4.6516 3.4532
0.0000 0.0000 0.0000
```

Space-group type: No. 122
Density of states at the Fermi level, states/eV/f.u.: 2.6
Energy relative to the elements, uncorrected, eV per atom: -0.336
Calculated volume, A^3/atom: 15.749
Total moment, μB/atom: 0.00

3.
VASP calculation (PBEsol) on an optimized crystal structure of SrNiAs2.

Cell and atoms, written as POSCAR:
```
SrNiAs2
1.0
-0.4919 1.0758 -3.9715
-3.7527 -1.7578 -0.0113
0.2912 4.2419 3.2750
As Ni Sr
2 1 1
Cartesian
0.0000 0.0000 0.0000
-1.1615 2.4884 -1.3440
-2.1223 -0.3410 -1.9914
-2.7919 1.0716 0.6361
```

Space-group type: No. 119
Density of states at the Fermi level, states/eV/f.u.: 2.5
Calculated volume, A^3/atom: 19.304
Formation energy, eV per atom: -0.04
Total moment, μB/atom: 0.00

4.
VASP calculation (PBEsol) on an optimized crystal structure of BaMg2Zn.

Cell and atoms, written as POSCAR:
```
BaMg2Zn
1.0
-0.6061 -2.1915 -4.8153
3.2188 -3.9416 -1.5558
-1.8806 -4.9575 -0.4516
Zn Mg Ba
1 2 1
Cartesian
0.3647 -5.5405 -3.4134
-0.6050 -2.1951 -4.8138
0.5496 -8.3198 -5.1163
0.1828 -2.7720 -1.7059
```

Space-group type: No. 44
Density of states at the Fermi level, states/eV/f.u.: 2.9
Calculated volume, A^3/atom: 26.633
Formation energy, eV per atom: -0.03
Total moment, μB/atom: 0.00

5.
VASP calculation (PBEsol) on an optimized crystal structure of MgPt4Au.

Cell and atoms, written as POSCAR:
```
MgPt4Au
1.0
-0.9549 -2.7040 4.3628
3.5992 -0.2194 3.7756
-0.7894 2.5122 4.5081
Au Mg Pt
1 1 4
Cartesian
0.4637 -0.1028 3.1616
0.0000 0.0000 0.0000
1.1591 -0.2570 7.9029
1.5535 -1.5121 5.6505
1.6362 1.0941 5.7231
-0.6391 -0.1474 6.0165
```

Space-group type: No. 216
Density of states at the Fermi level, states/eV/f.u.: 3.4
Calculated volume, A^3/atom: 16.771
Formation energy, eV per atom: -0.20
Total moment, μB/atom: 0.00

6.
VASP calculation (PBEsol) on an optimized crystal structure of Ag2TeCl.

Cell and atoms, written as POSCAR:
```
Ag2TeCl
1.0
-1.9370 3.2290 -0.5494
-0.9029 1.1002 -3.5291
-6.9824 -2.1031 -0.9207
Ag Cl Te
2 1 1
Cartesian
-2.4743 0.5455 -1.2485
-7.3481 1.6805 -3.7508
-4.9112 1.1130 -2.4996
0.0000 0.0000 0.0000
```

Space-group type: No. 166
Relative energy among the computed polymorphs, meV per atom: 0
Density of states at the Fermi level, states/eV/f.u.: 1.7
Energy relative to the elements, uncorrected, eV per atom: -0.163
Calculated volume, A^3/atom: 21.990
Total moment, μB/atom: 0.00